No. 1
Below is a relaxed CaPaOsN4 crystal, with properties calculated at the GGA-PBE level.

Structure (extended XYZ):
```
14
Lattice="6.0222 0.0000 0.0000 0.0000 5.4396 0.0000 -2.3528 0.0000 6.4024" Properties=species:S:1:pos:R:3 pbc="T T T"
Ca 0.0694 1.3599 2.8837
Ca 3.6000 4.0797 3.5187
Pa -0.5461 1.3599 6.2582
Pa 4.2155 4.0797 0.1442
Os 1.1254 4.0797 1.2607
Os 2.5440 1.3599 5.1417
N -1.8205 4.0797 5.9252
N -0.3791 4.0797 2.2851
N 1.0153 0.1045 5.0075
N 1.0153 2.6153 5.0075
N 2.6541 2.8244 1.3949
N 2.6541 5.3351 1.3949
N 4.0485 1.3599 4.1174
N 5.4899 1.3599 0.4772
```

Values from the calculation:
E_form (uncorrected)   -0.577 eV per atom
DOS(E_F)   3.664 states/eV/f.u.
Total moment   0.00 μB per cell

=====

No. 2
Below is a relaxed Ca2OsPbN crystal, with properties calculated at the GGA-PBE level.

Structure (extended XYZ):
```
5
Lattice="5.2048 0.0000 0.0000 0.0000 5.2048 0.0000 0.0000 0.0000 3.8282" Properties=species:S:1:pos:R:3 pbc="T T T"
Ca 0.0000 2.6024 0.0000
Ca 2.6024 0.0000 0.0000
Os 0.0000 0.0000 1.9141
Pb 2.6024 2.6024 1.9141
N 0.0000 0.0000 0.0000
```

Values from the calculation:
E_form (uncorrected)   -0.415 eV per atom
DOS(E_F)   1.789 states/eV/f.u.
Total moment   0.00 μB per cell

=====

No. 3
Below is a relaxed Ca2OsPdN crystal, with properties calculated at the GGA-PBE level.

Structure (extended XYZ):
```
5
Lattice="4.9799 0.0000 0.0000 0.0000 4.9799 0.0000 0.0000 0.0000 3.7835" Properties=species:S:1:pos:R:3 pbc="T T T"
Ca 0.0000 2.4900 0.0000
Ca 2.4900 0.0000 0.0000
Os 0.0000 0.0000 1.8917
Pd 2.4900 2.4900 1.8917
N 0.0000 0.0000 0.0000
```

Values from the calculation:
E_form (uncorrected)   -0.478 eV per atom
DOS(E_F)   1.257 states/eV/f.u.
Total moment   0.00 μB per cell

=====

No. 4
Below is a relaxed CaPm2Os2N6 crystal, with properties calculated at the GGA-PBE level.

Structure (extended XYZ):
```
11
Lattice="2.8671 1.6553 5.9898 -2.8671 1.6553 5.9898 0.0000 -3.3107 5.9898" Properties=species:S:1:pos:R:3 pbc="T T T"
Ca 0.0000 0.0000 0.0000
Pm 0.0000 0.0000 3.6986
Pm 0.0000 0.0000 14.2708
Os 0.0000 0.0000 7.1941
Os 0.0000 0.0000 10.7752
N -1.4691 -0.8482 10.1916
N 0.0000 -1.6963 7.7777
N -1.4691 0.8482 7.7777
N 1.4691 -0.8482 10.1916
N 0.0000 1.6963 10.1916
N 1.4691 0.8482 7.7777
```

Values from the calculation:
E_form (uncorrected)   -0.371 eV per atom
DOS(E_F)   6.895 states/eV/f.u.
Total moment   0.00 μB per cell

=====

No. 5
Below is a relaxed Ca2PmOsN4 crystal, with properties calculated at the GGA-PBE level.

Structure (extended XYZ):
```
16
Lattice="1.7315 -5.8140 0.0000 1.7315 5.8140 0.0000 0.0000 0.0000 11.9394" Properties=species:S:1:pos:R:3 pbc="T T T"
Ca 1.7315 4.3111 6.3828
Ca 1.7315 4.3111 11.5262
Ca 1.7315 -4.3111 0.4131
Ca 1.7315 -4.3111 5.5566
Pm 1.7315 1.2904 8.9545
Pm 1.7315 -1.2904 2.9848
Os 1.7315 1.8006 2.9848
Os 1.7315 -1.8006 8.9545
N 1.7315 4.9588 8.9545
N 1.7315 3.1390 1.6393
N 1.7315 3.1390 4.3304
N 1.7315 0.0000 0.0000
N 1.7315 0.0000 5.9697
N 1.7315 -3.1390 7.6090
N 1.7315 -3.1390 10.3001
N 1.7315 -4.9588 2.9848
```

Values from the calculation:
E_form (uncorrected)   -0.552 eV per atom
DOS(E_F)   3.167 states/eV/f.u.
Total moment   0.00 μB per cell

=====

No. 6
Below is a relaxed CaPr2Os2N6 crystal, with properties calculated at the GGA-PBE level.

Structure (extended XYZ):
```
11
Lattice="2.8920 1.6697 6.0191 -2.8920 1.6697 6.0191 0.0000 -3.3394 6.0191" Properties=species:S:1:pos:R:3 pbc="T T T"
Ca 0.0000 0.0000 0.0000
Pr 0.0000 0.0000 3.7710
Pr 0.0000 0.0000 14.2862
Os 0.0000 0.0000 7.2430
Os 0.0000 0.0000 10.8143
N -1.4781 -0.8534 10.2622
N 0.0000 -1.7068 7.7951
N -1.4781 0.8534 7.7951
N 1.4781 -0.8534 10.2622
N 0.0000 1.7068 10.2622
N 1.4781 0.8534 7.7951
```

Values from the calculation:
E_form (uncorrected)   -0.374 eV per atom
DOS(E_F)   7.599 states/eV/f.u.
Total moment   0.00 μB per cell

=====

No. 7
Below is a relaxed Ca2PrOsN4 crystal, with properties calculated at the GGA-PBE level.

Structure (extended XYZ):
```
16
Lattice="1.7438 -5.8724 0.0000 1.7438 5.8724 0.0000 0.0000 0.0000 11.9375" Properties=species:S:1:pos:R:3 pbc="T T T"
Ca 1.7438 4.3638 6.3843
Ca 1.7438 4.3638 11.5219
Ca 1.7438 -4.3638 0.4156
Ca 1.7438 -4.3638 5.5531
Pr 1.7438 1.2519 8.9531
Pr 1.7438 -1.2519 2.9844
Os 1.7438 1.8614 2.9844
Os 1.7438 -1.8614 8.9531
N 1.7438 4.9508 8.9531
N 1.7438 3.1654 1.6202
N 1.7438 3.1654 4.3486
N 1.7438 0.0000 0.0000
N 1.7438 0.0000 5.9687
N 1.7438 -3.1654 7.5889
N 1.7438 -3.1654 10.3173
N 1.7438 -4.9508 2.9844
```

Values from the calculation:
E_form (uncorrected)   -0.547 eV per atom
DOS(E_F)   3.372 states/eV/f.u.
Total moment   0.00 μB per cell

=====

No. 8
Below is a relaxed Ca2PuOsN4 crystal, with properties calculated at the GGA-PBE level.

Structure (extended XYZ):
```
16
Lattice="1.7084 -5.7347 0.0000 1.7084 5.7347 0.0000 0.0000 0.0000 11.9228" Properties=species:S:1:pos:R:3 pbc="T T T"
Ca 1.7084 4.2447 6.3895
Ca 1.7084 4.2447 11.4947
Ca 1.7084 -4.2447 0.4281
Ca 1.7084 -4.2447 5.5333
Pu 1.7084 1.4151 8.9421
Pu 1.7084 -1.4151 2.9807
Os 1.7084 1.6490 2.9807
Os 1.7084 -1.6490 8.9421
N 1.7084 5.0219 8.9421
N 1.7084 3.1226 1.6948
N 1.7084 3.1226 4.2666
N 1.7084 0.0000 0.0000
N 1.7084 0.0000 5.9614
N 1.7084 -3.1226 7.6562
N 1.7084 -3.1226 10.2280
N 1.7084 -5.0219 2.9807
```

Values from the calculation:
E_form (uncorrected)   -0.470 eV per atom
DOS(E_F)   7.208 states/eV/f.u.
Total moment   8.80 μB per cell

=====

No. 9
Below is a relaxed Ca4Pu3OsN8 crystal, with properties calculated at the GGA-PBE level.

Structure (extended XYZ):
```
16
Lattice="5.8505 -3.3620 0.0000 5.8505 3.3620 0.0000 -3.7987 0.0000 5.6420" Properties=species:S:1:pos:R:3 pbc="T T T"
Ca 0.0000 0.0000 0.0000
Ca 2.9253 1.6810 0.0000
Ca 2.9253 -1.6810 0.0000
Ca 5.8505 0.0000 0.0000
Pu -1.8994 0.0000 2.8210
Pu 1.0259 1.6810 2.8210
Pu 1.0259 -1.6810 2.8210
Os 3.9512 0.0000 2.8210
N 3.0494 1.6730 4.0374
N 0.1313 0.0000 4.0767
N 4.8529 1.6730 1.6046
N 1.9880 0.0000 1.5993
N 5.9143 0.0000 4.0427
N 3.0494 -1.6730 4.0374
N 7.7711 0.0000 1.5653
N 4.8529 -1.6730 1.6046
```

Values from the calculation:
E_form (uncorrected)   -0.922 eV per atom
DOS(E_F)   17.943 states/eV/f.u.
Total moment   3.51 μB per cell

=====

No. 10
Below is a relaxed CaOsSN2 crystal, with properties calculated at the GGA-PBE level.

Structure (extended XYZ):
```
5
Lattice="4.0764 0.0000 0.0000 0.0000 4.0764 0.0000 0.0000 0.0000 5.1030" Properties=species:S:1:pos:R:3 pbc="T T T"
Ca 0.0000 0.0000 0.0000
Os 2.0382 2.0382 2.5515
S 0.0000 0.0000 2.5515
N 0.0000 2.0382 0.0000
N 2.0382 0.0000 0.0000
```

Values from the calculation:
E_form (uncorrected)   2.471 eV per atom
DOS(E_F)   9.295 states/eV/f.u.
Relative energy among the computed polymorphs   262.04 kJ per mole of atoms
Total moment   0.42 μB per cell

=====

No. 11
Below is a relaxed CaOsSN2 crystal, with properties calculated at the GGA-PBE level.

Structure (extended XYZ):
```
5
Lattice="3.8553 0.0000 0.0000 0.0000 3.8553 0.0000 0.0000 0.0000 5.1819" Properties=species:S:1:pos:R:3 pbc="T T T"
Ca 0.0000 0.0000 0.0000
Os 1.9277 1.9277 2.5910
S 1.9277 1.9277 0.0000
N 0.0000 1.9277 2.5910
N 1.9277 0.0000 2.5910
```

Values from the calculation:
E_form (uncorrected)   -0.245 eV per atom
DOS(E_F)   1.881 states/eV/f.u.
Relative energy among the computed polymorphs   0.00 kJ per mole of atoms
Total moment   0.26 μB per cell

=====

No. 12
Below is a relaxed CaOsSeN2 crystal, with properties calculated at the GGA-PBE level.

Structure (extended XYZ):
```
5
Lattice="4.1021 0.0000 0.0000 0.0000 4.1021 0.0000 0.0000 0.0000 5.3966" Properties=species:S:1:pos:R:3 pbc="T T T"
Ca 0.0000 0.0000 0.0000
Os 2.0511 2.0511 2.6983
Se 0.0000 0.0000 2.6983
N 0.0000 2.0511 0.0000
N 2.0511 0.0000 0.0000
```

Values from the calculation:
E_form (uncorrected)   2.416 eV per atom
DOS(E_F)   8.852 states/eV/f.u.
Relative energy among the computed polymorphs   246.67 kJ per mole of atoms
Total moment   0.13 μB per cell